The following is a DFT calculation (PBE with a Hubbard U) of an optimized crystal structure of Li3CoRh3O8.

a = 6.0333 Å, b = 6.0326 Å, c = 5.9383 Å
α = 120.54°, β = 90.00°, γ = 120.01°
With the nearest neighbours (Å) after each atom.
Element x y z (fractional)
Li 0.0000 0.0000 0.0000  6 O 2.17-2.19
Li 0.0000 0.5000 0.0000  6 O 2.17-2.19
Li 0.5000 0.5000 0.0000  6 O 2.17-2.19
Co 0.0000 0.0000 0.5000  6 O 1.94
Rh 0.5000 0.0000 0.5000  6 O 2.06-2.07
Rh 0.5000 0.5000 0.5000  6 O 2.06-2.07
Rh 0.0000 0.5000 0.5000  6 O 2.06-2.07
O 0.2563 0.5126 0.2691  3 Rh 2.07, 3 Li 2.17
O 0.7437 0.4874 0.7309  3 Rh 2.07, 3 Li 2.17
O 0.7710 0.5420 0.2871  1 Co 1.94, 2 Rh 2.06
O 0.2290 0.4580 0.7129  1 Co 1.94, 2 Rh 2.06
O 0.7710 0.0160 0.2871  1 Co 1.94, 2 Rh 2.06
O 0.2290 0.9840 0.7129  1 Co 1.94, 2 Rh 2.06
O 0.2450 0.0160 0.2871  1 Co 1.94, 2 Rh 2.06
O 0.7550 0.9840 0.7129  1 Co 1.94, 2 Rh 2.06

Computed properties:
Magnetization in μB/cell: 1.000
E in eV per atom: -5.996
Crystal system: trigonal